First-principles (PBE-GGA) data for a relaxed KNbZn crystal, as listed in Alexandria via LeMat-Bulk.

POSCAR file:
```
KNbZn
1.0
-4.3201 -0.5202 0.5209
2.6252 -3.5053 -0.1627
1.3373 0.4653 11.5545
Zn Nb K
2 2 2
Cartesian
0.6444 -2.3939 2.9538
-1.0020 -1.1663 8.9589
-1.6707 -1.3989 3.1817
1.3131 -2.1613 8.7310
0.0000 0.0000 0.0000
0.6686 0.2326 5.7772
```

Results
Uncorrected energy ... -2.964 eV per atom
Distance to the lowest polymorph of the same formula ... 953 meV/atom
Formation enthalpy at 0 K ... 1.18 eV/atom
Spin magnetization ... 2.98 Bohr magnetons per cell